Record 1
BeCd2In2 | Alexandria | PBE | relaxed; SG = P4/mbm
1.0
6.841 0.000 0.000
0.000 6.841 0.000
0.000 0.000 4.960
Cd In Be
4 4 2
Cartesian
5.709 4.553 0.000
1.132 2.288 0.000
4.553 1.132 0.000
2.288 5.709 0.000
4.526 5.736 2.480
2.315 1.105 2.480
1.105 4.526 2.480
5.736 2.315 2.480
3.420 3.420 0.000
0.000 0.000 0.000

***

Record 2
Be2CdIn | Alexandria | PBE | relaxed; SG = P4mm
1.0
2.849 0.000 0.000
0.000 2.849 0.000
0.000 0.000 8.451
In Cd Be
1 1 2
Cartesian
1.424 1.424 6.797
0.000 0.000 3.651
0.000 0.000 0.604
1.424 1.424 1.625

***

Record 3
BeCdIn2 | Alexandria | PBE | relaxed; SG = C2/m
1.0
-1.565 -2.346 3.447
-2.166 -3.859 0.497
4.766 -4.260 1.215
Be In Cd
1 2 1
Cartesian
0.776 -7.849 3.869
4.479 -4.138 1.211
0.804 -5.355 2.584
0.259 -2.616 1.290

***

So what do the calculations give for energy relative to the elements? Going down the list: 337, 428, 337 meV/atom.
So what do the calculations give for D(E_F)? Going down the list: 3.24, 1.36, 1.66 states/eV per cell.